(a)
Density functional theory data (GGA-PBEsol) for a geometry-optimized Sb2TePtO structure.

Cell: 5.1271 5.1271 5.3554 Å, 90.00 90.00 90.00°
Last column: nearest neighbours and their distance in Å.
Sites, in units of the cell vectors:
Sb  0.0000  0.5000  0.0000  2 Pt 2.56
Sb  0.5000  0.0000  0.0000  2 Pt 2.56
Te  0.0000  0.0000  0.5000  2 Pt 2.68
Pt  0.0000  0.0000  0.0000  4 Sb 2.56, 2 Te 2.68
O  0.5000  0.5000  0.5000  4 Te 3.63, 8 Sb 3.71

## Properties
Space-group type: P4/mmm, No. 123

(b)
Density functional theory data (GGA-PBEsol) for a geometry-optimized Sb2TePtO structure.

Cell: 4.6037 4.6037 4.7483 Å, 90.00 90.00 90.00°
Last column: nearest neighbours and their distance in Å.
Sites, in units of the cell vectors:
Sb  0.0000  0.5000  0.0000  2 O 2.30
Sb  0.5000  0.0000  0.0000  2 O 2.30
Te  0.0000  0.0000  0.5000  2 O 2.37
Pt  0.5000  0.5000  0.5000  4 Te 3.26, 8 Sb 3.31
O  0.0000  0.0000  0.0000  4 Sb 2.30, 2 Te 2.37

## Properties
Space-group type: P4/mmm, No. 123

Most stable: (b). Least stable: (a).